Below is a geometry-optimized TlRuSe2 structure, with properties calculated at the PBE-GGA level.

Cell: 3.1447 3.1447 8.6069 Å, 90.00 90.00 90.02°
Last column: nearest neighbours and their distance in Å.
Sites, in units of the cell vectors:
Ru (0.5000, 0.5000, 0.7500)  8 Se 2.69
Se (0.0000, 0.0000, 0.9255)  4 Ru 2.69
Se (0.0000, 0.0000, 0.5745)  4 Ru 2.69
Tl (0.5000, 0.5000, 0.2500)  4 Tl 3.14

Computed properties:
**E_form (uncorrected)**: 0.12 eV per formula unit
**E**: -4.62 eV/atom
**Energy above the most stable polymorph in this dataset**: 229 meV/atom